Density functional theory data (PBE) for a relaxed KNa2LiHg crystal.

Lattice parameters (Å, degrees): 5.9629 5.9629 5.3861 90.00 90.00 90.00
Fractional coordinates of all 5 atoms:
1 Na 0.0000 0.5000 0.0000
2 Na 0.5000 0.0000 0.0000
3 K 0.5000 0.5000 0.5000
4 Hg 0.0000 0.0000 0.0000
5 Li 0.0000 0.0000 0.5000

Results
ΔE_f: -0.3 eV/f.u.
total magnetic moment: 0.00 μB per cell
energy relative to the lowest polymorph listed for this composition: 0.0000 eV per atom